# Ag7Ge (PBE-GGA, relaxed)
# ΔE to the lowest computed polymorph = 0.0 meV per atom
# Uncorrected energy = -2.99 eV per atom
# SG = P4/nmm, No. 129
data_Ag7Ge
_cell_length_a 2.904
_cell_length_b 2.904
_cell_length_c 47.862
_cell_angle_alpha 90.00
_cell_angle_beta 90.00
_cell_angle_gamma 90.00
_symmetry_space_group_name_H-M 'P 1'
_symmetry_Int_Tables_number 1
loop_
_symmetry_equiv_pos_as_xyz
'x,y,z'
loop_
_atom_site_label
_atom_site_type_symbol
_atom_site_fract_x
_atom_site_fract_y
_atom_site_fract_z
Ag1 Ag 0.500 0.000 0.212
Ag2 Ag 0.000 0.500 0.257
Ag3 Ag 0.500 0.000 0.301
Ag4 Ag 0.000 0.500 0.346
Ag5 Ag 0.500 0.000 0.390
Ag6 Ag 0.000 0.500 0.434
Ag7 Ag 0.500 0.000 0.478
Ag8 Ag 0.000 0.500 0.522
Ag9 Ag 0.500 0.000 0.566
Ag10 Ag 0.000 0.500 0.610
Ag11 Ag 0.500 0.000 0.654
Ag12 Ag 0.000 0.500 0.699
Ag13 Ag 0.500 0.000 0.743
Ag14 Ag 0.000 0.500 0.788
Ge1 Ge 0.000 0.500 0.168
Ge2 Ge 0.500 0.000 0.832